Cs2BMoRu | PBE | optimized geometry

Geometry as CIF:
```
data_Cs2BMoRu
_symmetry_space_group_name_H-M 'P 4/m m m'
_symmetry_Int_Tables_number 123
_symmetry_space_group_name_Hall '-P 4 2'
_cell_length_a 6.850
_cell_length_b 6.850
_cell_length_c 4.605
_cell_angle_alpha 90.00
_cell_angle_beta 90.00
_cell_angle_gamma 90.00
loop_
_atom_site_label
_atom_site_fract_x
_atom_site_fract_y
_atom_site_fract_z
Cs1 0.000 0.500 0.000
B1 0.000 0.000 0.500
Mo1 0.500 0.500 0.500
Ru1 0.500 0.500 0.000
```

Output
The total DFT energy (no corrections) comes out at -3.62 eV/atom. The value obtained for the formation energy from the elements is 2.0825 eV per atom.